Entry from Alexandria: a geometry-optimized LaAlOs structure (PBEsol).

Cell lengths 3.0445, 3.0445, 7.1885 Å; angles 90.00, 90.00, 120.00 degrees
Space group P3m1 (No. 156)
One atom of each set of equivalent atoms:
La1 0.0000 0.0000 0.0000 x1
Al1 0.6667 0.3333 0.4009 x1
Os1 0.3333 0.6667 0.6534 x1

## Properties
Magnetic moment in μB per cell: 0.00
Energy of formation in meV per atom: 267
D(E_F) in states/eV per cell: 2.799
V in Å³ per atom: 19.234
Crystal system: trigonal